A plane-wave DFT calculation with GGA-PBE was carried out for a relaxed structure of Nd4Np3S8.

Properties
Formation energy from raw total energies (kJ/mol of formula units): -2522
Magnetization (μB/cell): 26.711

Unit cell a=11.306 b=11.308 c=7.985 alpha=90.00 beta=134.89 gamma=90.00
Space group C2/m (No. 12)
Unique sites:
Nd 0.000 0.000 0.000 x2
Nd 0.000 0.500 0.500 x2
Nd 0.250 0.250 0.000 x4
Np 0.000 0.000 0.500 x2
Np 0.250 0.250 0.500 x4
S 0.000 0.245 0.500 x4
S 0.000 0.253 0.000 x4
S 0.248 0.000 0.505 x4
S 0.249 0.000 0.994 x4